A geometry-optimized LiMoRh2 structure, computed with PBE.

Cell lengths 4.426, 4.426, 2.880 Å; angles 90.00, 90.00, 90.06 degrees
Sites, in units of the cell vectors:
Li: 0.500 0.000 0.500
Mo: 0.000 0.500 0.500
Rh: 0.000 0.000 0.000
Rh: 0.500 0.500 0.000

Properties
- energy relative to the elements (eV per atom) = -0.0734
- E (eV for the cell shown) = -27.74
- energy relative to the lowest polymorph listed for this composition (eV/atom) = 0.119
- DOS at the Fermi energy (states/eV/cell) = 2.61